# 1
First-principles (PBE) data for a geometry-optimized Cs2HoNpSe4 structure, as listed in the Alexandria database.

a b c (Å): 7.463 4.293 8.721
angles (deg): 90.00 106.52 90.00
Atoms (fractional coordinates):
Cs  0.000  0.000  0.000
Cs  0.500  0.500  0.000
Ho  0.000  0.500  0.500
Np  0.500  0.000  0.500
Se  0.223  0.000  0.685
Se  0.268  0.500  0.315
Se  0.732  0.500  0.685
Se  0.777  0.000  0.315

Density ... 6.10 g/cm³
E ... -5.6097 eV/atom
M_tot ... 0.500 μB per atom
D(E_F) ... 0.92 states/eV per atom



# 2
First-principles (PBE) data for a geometry-optimized Cs2HoNp2Se6 structure, as listed in the Alexandria database.

a b c (Å): 7.273 7.273 8.898
angles (deg): 97.75 97.75 120.01
Atoms (fractional coordinates):
Cs  0.166  0.834  0.000
Cs  0.834  0.166  0.000
Ho  0.000  0.000  0.500
Np  0.334  0.666  0.500
Np  0.666  0.334  0.500
Se  0.060  0.394  0.681
Se  0.274  0.274  0.319
Se  0.394  0.060  0.681
Se  0.606  0.940  0.319
Se  0.726  0.726  0.681
Se  0.940  0.606  0.319

Density ... 5.83 g/cm³
E ... -6.2360 eV/atom
M_tot ... 0.636 μB per atom
D(E_F) ... 1.79 states/eV per atom



# 3
First-principles (PBE) data for a geometry-optimized Cs3Ho3NpTe8 structure, as listed in the Alexandria database.

a b c (Å): 10.467 10.467 10.467
angles (deg): 50.59 50.59 50.59
Atoms (fractional coordinates):
Cs  0.000  0.500  0.500
Cs  0.500  0.000  0.500
Cs  0.500  0.500  0.000
Ho  0.000  0.000  0.500
Ho  0.000  0.500  0.000
Ho  0.500  0.000  0.000
Np  0.500  0.500  0.500
Te  0.229  0.229  0.229
Te  0.229  0.729  0.729
Te  0.271  0.271  0.771
Te  0.271  0.771  0.271
Te  0.729  0.229  0.729
Te  0.729  0.729  0.229
Te  0.771  0.271  0.271
Te  0.771  0.771  0.771

Density ... 5.66 g/cm³
E ... -4.8548 eV/atom
M_tot ... 0.199 μB per atom
D(E_F) ... 0.19 states/eV per atom



# 4
First-principles (PBE) data for a geometry-optimized Cs3HoNp2Te6 structure, as listed in the Alexandria database.

a b c (Å): 7.970 7.970 9.302
angles (deg): 98.21 98.21 120.00
Atoms (fractional coordinates):
Cs  0.000  0.000  0.000
Cs  0.333  0.667  0.000
Cs  0.667  0.333  0.000
Ho  0.500  0.500  0.500
Np  0.167  0.833  0.500
Np  0.833  0.167  0.500
Te  0.108  0.437  0.310
Te  0.234  0.234  0.690
Te  0.437  0.108  0.310
Te  0.563  0.892  0.690
Te  0.766  0.766  0.310
Te  0.892  0.563  0.690

Density ... 6.11 g/cm³
E ... -5.3646 eV/atom
M_tot ... 0.667 μB per atom
D(E_F) ... 1.46 states/eV per atom